The following is a PBE-GGA calculation of a geometry-optimized TlNiI2 structure, from Alexandria.

a = 5.568 Å, b = 5.568 Å, c = 5.568 Å
α = 60.00°, β = 60.00°, γ = 60.00°
Fractional coordinates of all 4 atoms:
1 Tl 0.000 0.000 0.000
2 Ni 0.500 0.500 0.500
3 I 0.250 0.250 0.250
4 I 0.750 0.750 0.750

Calculated values
Crystal system: cubic
Formation energy from raw total energies, kJ per mole of atoms: 32.2
N(E_F), states/eV per atom: 4.424
Uncorrected energy, eV/cell: -9.9
Total moment, μB per formula unit: 1.00
Space-group type: Fm-3m
Density, g/cm³: 7.031

The following is a PBE-GGA calculation of a geometry-optimized ScAgRu4 structure, from Alexandria.

a = 5.174 Å, b = 5.174 Å, c = 5.174 Å
α = 60.00°, β = 60.00°, γ = 60.00°
Fractional coordinates of all 6 atoms:
1 Sc 0.000 0.000 0.000
2 Ag 0.250 0.250 0.250
3 Ru 0.126 0.625 0.625
4 Ru 0.625 0.126 0.625
5 Ru 0.625 0.625 0.126
6 Ru 0.625 0.625 0.625

Calculated values
Energy of formation from the pure elements, eV/atom: 0.146
Crystal system: cubic
N(E_F), states/eV per atom: 1.404
Uncorrected energy, eV/cell: -45.4
Total moment, μB per formula unit: 2.00
Space-group type: F-43m
Density, g/cm³: 9.446

The following is a PBE-GGA calculation of a geometry-optimized Dy2CdRu structure, from Alexandria.

a = 3.460 Å, b = 3.460 Å, c = 7.694 Å
α = 90.00°, β = 90.00°, γ = 90.00°
Fractional coordinates of all 4 atoms:
1 Dy 0.000 0.000 0.215
2 Dy 0.000 0.000 0.785
3 Cd 0.500 0.500 0.500
4 Ru 0.500 0.500 0.000

Calculated values
Energy of formation from the pure elements, eV/atom: -0.406
Crystal system: tetragonal
N(E_F), states/eV per atom: 0.838
Uncorrected energy, eV/cell: -21.0
Total moment, μB per formula unit: 0.00
Space-group type: P4/mmm
Density, g/cm³: 9.706

The following is a PBE-GGA calculation of a geometry-optimized Si3Pt structure, from Alexandria.

a = 3.899 Å, b = 3.899 Å, c = 3.899 Å
α = 90.00°, β = 90.00°, γ = 90.00°
Fractional coordinates of all 4 atoms:
1 Si 0.000 0.000 0.500
2 Si 0.000 0.500 0.000
3 Si 0.500 0.000 0.000
4 Pt 0.500 0.500 0.500

Calculated values
Crystal system: cubic
Formation energy from raw total energies, kJ per mole of atoms: 20.6
N(E_F), states/eV per atom: 0.599
Uncorrected energy, eV/cell: -21.5
Total moment, μB per formula unit: 0.00
Space-group type: Pm-3m
Density, g/cm³: 7.823

The following is a PBE-GGA calculation of a geometry-optimized Pa3BiSb structure, from Alexandria.

a = 13.042 Å, b = 13.042 Å, c = 5.236 Å
α = 90.00°, β = 90.00°, γ = 153.30°
Fractional coordinates of all 10 atoms:
1 Pa 0.000 0.000 0.000
2 Pa 0.000 0.000 0.500
3 Pa 0.032 0.474 0.750
4 Pa 0.474 0.032 0.250
5 Pa 0.526 0.968 0.750
6 Pa 0.968 0.526 0.250
7 Bi 0.113 0.887 0.250
8 Bi 0.887 0.113 0.750
9 Sb 0.331 0.669 0.250
10 Sb 0.669 0.331 0.750

Calculated values
Crystal system: orthorhombic
Formation energy from raw total energies, kJ per mole of atoms: 69.3
N(E_F), states/eV per atom: 1.760
Uncorrected energy, eV/cell: -65.8
Total moment, μB per formula unit: 3.44
Space-group type: Cmcm
Density, g/cm³: 8.497

The following is a PBE-GGA calculation of a geometry-optimized Sr3Zr5S12 structure, from Alexandria.

a = 13.978 Å, b = 13.978 Å, c = 13.978 Å
α = 109.47°, β = 109.47°, γ = 109.47°
Fractional coordinates of all 80 atoms:
1 Sr 0.125 0.250 0.375
2 Sr 0.125 0.375 0.750
3 Sr 0.250 0.375 0.125
4 Sr 0.250 0.875 0.625
5 Sr 0.375 0.125 0.250
6 Sr 0.375 0.750 0.125
7 Sr 0.625 0.250 0.875
8 Sr 0.625 0.875 0.750
9 Sr 0.750 0.125 0.375
10 Sr 0.750 0.625 0.875
11 Sr 0.875 0.625 0.250
12 Sr 0.875 0.750 0.625
13 Zr 0.000 0.000 0.000
14 Zr 0.000 0.000 0.500
15 Zr 0.000 0.500 0.000
16 Zr 0.000 0.500 0.500
17 Zr 0.125 0.750 0.875
18 Zr 0.125 0.875 0.250
19 Zr 0.250 0.125 0.875
20 Zr 0.250 0.625 0.375
21 Zr 0.375 0.250 0.625
22 Zr 0.375 0.625 0.750
23 Zr 0.500 0.000 0.000
24 Zr 0.500 0.000 0.500
25 Zr 0.500 0.500 0.000
26 Zr 0.500 0.500 0.500
27 Zr 0.625 0.375 0.250
28 Zr 0.625 0.750 0.375
29 Zr 0.750 0.375 0.625
30 Zr 0.750 0.875 0.125
31 Zr 0.875 0.125 0.750
32 Zr 0.875 0.250 0.125
33 S 0.027 0.206 0.118
34 S 0.027 0.322 0.909
35 S 0.088 0.706 0.678
36 S 0.088 0.882 0.409
37 S 0.091 0.618 0.412
38 S 0.091 0.973 0.678
39 S 0.118 0.027 0.206
40 S 0.118 0.591 0.912
41 S 0.178 0.206 0.588
42 S 0.178 0.473 0.591
43 S 0.206 0.118 0.027
44 S 0.206 0.588 0.178
45 S 0.294 0.322 0.912
46 S 0.294 0.473 0.382
47 S 0.322 0.909 0.027
48 S 0.322 0.912 0.294
49 S 0.382 0.294 0.473
50 S 0.382 0.588 0.909
51 S 0.409 0.088 0.882
52 S 0.409 0.822 0.527
53 S 0.412 0.091 0.618
54 S 0.412 0.822 0.794
55 S 0.473 0.382 0.294
56 S 0.473 0.591 0.178
57 S 0.527 0.409 0.822
58 S 0.527 0.618 0.706
59 S 0.588 0.178 0.206
60 S 0.588 0.909 0.382
61 S 0.591 0.178 0.473
62 S 0.591 0.912 0.118
63 S 0.618 0.412 0.091
64 S 0.618 0.706 0.527
65 S 0.678 0.088 0.706
66 S 0.678 0.091 0.973
67 S 0.706 0.527 0.618
68 S 0.706 0.678 0.088
69 S 0.794 0.412 0.822
70 S 0.794 0.882 0.973
71 S 0.822 0.527 0.409
72 S 0.822 0.794 0.412
73 S 0.882 0.409 0.088
74 S 0.882 0.973 0.794
75 S 0.909 0.027 0.322
76 S 0.909 0.382 0.588
77 S 0.912 0.118 0.591
78 S 0.912 0.294 0.322
79 S 0.973 0.678 0.091
80 S 0.973 0.794 0.882

Calculated values
Crystal system: cubic
Formation energy from raw total energies, kJ per mole of atoms: -153.6
N(E_F), states/eV per atom: 0.488
Uncorrected energy, eV/cell: -516.6
Total moment, μB per formula unit: 1.92
Space-group type: Ia-3d
Density, g/cm³: 3.487